Compound: Li2YAg9
Source: Alexandria
Functional: PBE
Structure: optimized geometry

Results
Total energy: -36.8 eV per cell
Energy of formation from the pure elements: -86 kJ/mol of formula units
Crystal system: trigonal

Geometry as POSCAR:
```
Li2YAg9
1.0
2.756 1.591 9.281
-2.756 1.591 9.281
0.000 -3.182 9.281
Li Y Ag
2 1 9
Cartesian
0.000 0.000 4.098
0.000 0.000 23.746
0.000 0.000 0.000
-1.388 -0.801 11.655
0.000 0.000 9.272
0.000 -1.603 16.189
-1.388 0.801 16.189
0.000 0.000 13.922
1.388 -0.801 11.655
0.000 1.603 11.655
0.000 0.000 18.571
1.388 0.801 16.189
```